1.
Compound: TbMnSi2
Source: Alexandria
Functional: GGA-PBE
Structure: optimized geometry

* SG: R-3m (166)
* size of the total moment: 0.00 μB per cell
* formation energy without anion corrections: -0.544 eV per atom
* Fermi-level density of states: 3.152 states/eV per cell

a b c (Å): 3.9591 3.9591 5.4605
angles (deg): 68.75 68.75 60.00
Last column: nearest neighbours and their distance in Å.
Element x y z (fractional)
Si (0.2930, 0.2930, 0.1210)  3 Mn 2.36, 3 Si 2.58
Mn (0.0000, 0.0000, 0.0000)  6 Si 2.36
Tb (0.5000, 0.5000, 0.5000)  8 Si 2.96-3.08
Si (0.7070, 0.7070, 0.8790)  3 Mn 2.36, 3 Si 2.58

=====

2.
Compound: Mg2CuIr
Source: Alexandria
Functional: GGA-PBE
Structure: optimized geometry

* SG: Immm (71)
* size of the total moment: 0.00 μB per cell
* Fermi-level density of states: 2.832 states/eV per cell
* formation energy: 0.44 eV/atom

a b c (Å): 5.7102 5.7102 5.7102
angles (deg): 57.10 150.66 132.18
Last column: nearest neighbours and their distance in Å.
Element x y z (fractional)
Mg (0.0000, 0.2425, 0.2425)  1 Cu 2.43, 1 Ir 2.58
Ir (0.0000, 0.5000, 0.5000)  2 Mg 2.58, 4 Cu 2.73, 2 Ir 2.89
Mg (0.0000, 0.7575, 0.7575)  1 Cu 2.43, 1 Ir 2.58
Cu (0.0000, 0.0000, 0.0000)  2 Mg 2.43

=====

3.
Compound: CdSe2
Source: Alexandria
Functional: GGA-PBE
Structure: optimized geometry

* SG: P6/mmm (191)
* size of the total moment: 0.00 μB per cell
* formation energy without anion corrections: 0.255 eV per atom
* Fermi-level density of states: 2.356 states/eV per cell

a b c (Å): 4.7258 4.7258 3.6963
angles (deg): 90.00 90.00 120.00
Last column: nearest neighbours and their distance in Å.
Element x y z (fractional)
Se (0.6667, 0.3333, 0.5000)  3 Se 2.73
Se (0.3333, 0.6667, 0.5000)  3 Se 2.73
Cd (0.0000, 0.0000, 0.0000)  12 Se 3.30

=====

4.
Compound: ErPu2ReC4
Source: Alexandria
Functional: GGA-PBE
Structure: optimized geometry

* SG: Cmcm (63)
* size of the total moment: 18.52 μB per cell
* Fermi-level density of states: 24.768 states/eV per cell
* formation energy: 0.07 eV/atom

a b c (Å): 3.4394 6.0295 12.4053
angles (deg): 90.00 90.00 106.57
Last column: nearest neighbours and their distance in Å.
Element x y z (fractional)
C (0.0000, 0.0000, 0.5000)  4 Pu 2.35
Er (0.8897, 0.7793, 0.2500)  6 C 2.61-2.71
C (0.2612, 0.5223, 0.3689)  1 Re 1.92
Re (0.1546, 0.3092, 0.2500)  4 C 1.92-2.04
Pu (0.6329, 0.2658, 0.0358)  5 C 2.35-2.56
C (0.5592, 0.1185, 0.2500)  2 Re 2.04
Pu (0.3671, 0.7342, 0.9642)  5 C 2.35-2.56
C (0.7388, 0.4777, 0.6311)  1 Re 1.92
Re (0.8454, 0.6908, 0.7500)  4 C 1.92-2.04
C (0.0000, 0.0000, 0.0000)  4 Pu 2.35
C (0.7388, 0.4777, 0.8689)  1 Re 1.92
Er (0.1103, 0.2207, 0.7500)  6 C 2.61-2.71
C (0.2612, 0.5223, 0.1311)  1 Re 1.92
Pu (0.6329, 0.2658, 0.4642)  5 C 2.35-2.56
C (0.4408, 0.8815, 0.7500)  2 Re 2.04
Pu (0.3671, 0.7342, 0.5358)  5 C 2.35-2.56